Entry from Alexandria via LeMat-Bulk: a relaxed CsMnTl2F6 crystal (GGA+U).

The space group is P2_1/c (No. 14) and the conventional cell measures 6.246, 7.333 and 11.174 Å, with angles of 90.00, 123.93 and 90.00 degrees. Symmetry generates all atoms from Cs at (0.000, 0.000, 0.000), Mn at (0.500, 0.000, 0.500), Tl at (0.212, 0.026, 0.720), F at (0.189, 0.140, 0.493), F at (0.270, 0.701, 0.911) and F at (0.392, 0.093, 0.314).

Its magnetic moment is 8.0 μB/cell. The value obtained for the theoretical density is 5.56 Mg/m³. The calculation puts the total energy at -4.7305 eV per atom.